1.
Density functional theory data (PBE-GGA) for a relaxed CdGa2P2 crystal.

Properties
The calculation puts the polymorph energy (0 for the lowest one) at 0.0 meV/atom. The space group is I4/mmm. The calculation puts the formation energy at 0.170 eV/atom. The crystal system is tetragonal.

Cell lengths 4.6017, 4.6017, 5.6537 Å; angles 65.99, 65.99, 90.00 degrees
Last column: nearest neighbours and their distance in Å.
Fractional coordinates of all 5 atoms:
1 P 0.7500 0.2500 0.5000  4 Ga 2.54
2 P 0.2500 0.7500 0.5000  4 Ga 2.54
3 Ga 0.3655 0.3655 0.2690  1 Ga 2.49, 4 P 2.54
4 Ga 0.6345 0.6345 0.7310  1 Ga 2.49, 4 P 2.54
5 Cd 0.0000 0.0000 0.0000  8 P 3.26, 10 Ga 3.38-3.48



2.
Density functional theory data (PBE-GGA) for a relaxed RbCuRe3 crystal.

Properties
The calculation puts the polymorph energy (0 for the lowest one) at 0.0 meV/atom. The space group is Pm-3m. The calculation puts the formation energy at 2.602 eV/atom. The crystal system is cubic.

Cell lengths 4.6926, 4.6926, 4.6926 Å; angles 90.00, 90.00, 90.00 degrees
Last column: nearest neighbours and their distance in Å.
Fractional coordinates of all 5 atoms:
1 Re 0.0000 0.5000 0.0000  2 Cu 2.35
2 Re 0.0000 0.0000 0.5000  2 Cu 2.35
3 Re 0.5000 0.0000 0.0000  2 Cu 2.35
4 Cu 0.0000 0.0000 0.0000  6 Re 2.35
5 Rb 0.5000 0.5000 0.5000  12 Re 3.32



3.
Density functional theory data (PBE-GGA) for a relaxed CaYIn4 crystal.

Properties
The calculation puts the polymorph energy (0 for the lowest one) at 0.0 meV/atom. The space group is P2/m. The calculation puts the formation energy at -0.386 eV/atom. The crystal system is monoclinic.

Cell lengths 3.6538, 4.9793, 8.6799 Å; angles 90.00, 90.05, 90.00 degrees
Last column: nearest neighbours and their distance in Å.
Fractional coordinates of all 6 atoms:
1 Ca 0.5000 0.0000 0.0000  12 In 3.38-3.50, 2 Ca 3.65
2 Y 0.5000 0.5000 0.5000  12 In 3.34-3.46, 2 Y 3.65
3 In 0.0317 0.0000 0.6644  3 In 2.86-2.89
4 In 0.9780 0.5000 0.8315  3 In 2.89-2.93
5 In 0.9683 0.0000 0.3356  3 In 2.86-2.89
6 In 0.0220 0.5000 0.1685  3 In 2.89-2.93



4.
Density functional theory data (PBE-GGA) for a relaxed AcPr2DyEr4 crystal.

Properties
The space group is Imma. The calculation puts the formation energy at 0.427 eV/atom. The crystal system is orthorhombic.

Cell lengths 9.6411, 9.6401, 11.9716 Å; angles 128.38, 128.38, 88.43 degrees
Last column: nearest neighbours and their distance in Å.
Fractional coordinates of all 16 atoms:
1 Ac 0.0000 0.5000 0.0000  2 Pr 3.45, 6 Er 3.47-3.50
2 Ac 0.0000 0.5000 0.5000  2 Pr 3.45, 6 Er 3.47-3.50
3 Pr 0.5000 0.0000 0.0000  6 Er 3.25-3.41, 2 Ac 3.45
4 Pr 0.5000 0.0000 0.5000  6 Er 3.25-3.41, 2 Ac 3.45
5 Pr 0.0000 0.0000 0.5000  6 Er 3.44-3.52, 2 Pr 3.45
6 Pr 0.5000 0.5000 0.0000  6 Er 3.44-3.52, 2 Pr 3.45
7 Dy 0.5000 0.5000 0.5000  6 Er 3.29-3.40, 2 Dy 3.45
8 Dy 0.0000 0.0000 0.0000  6 Er 3.29-3.40, 2 Dy 3.45
9 Er 0.2567 0.7677 0.0122  2 Er 3.28-3.62, 1 Dy 3.29, 3 Pr 3.41-3.44, 2 Ac 3.50
10 Er 0.7323 0.2433 0.4878  2 Er 3.28-3.62, 1 Dy 3.29, 3 Pr 3.41-3.44, 2 Ac 3.50
11 Er 0.2677 0.7567 0.5122  2 Er 3.28-3.62, 1 Dy 3.29, 3 Pr 3.41-3.44, 2 Ac 3.50
12 Er 0.7433 0.2323 0.9878  2 Er 3.28-3.62, 1 Dy 3.29, 3 Pr 3.41-3.44, 2 Ac 3.50
13 Er 0.7416 0.7578 0.9938  3 Pr 3.25-3.52, 2 Dy 3.39-3.40, 2 Er 3.46, 1 Ac 3.47
14 Er 0.7422 0.7585 0.5062  3 Pr 3.25-3.52, 2 Dy 3.39-3.40, 2 Er 3.46, 1 Ac 3.47
15 Er 0.2578 0.2416 0.4938  3 Pr 3.25-3.52, 2 Dy 3.39-3.40, 2 Er 3.46, 1 Ac 3.47
16 Er 0.2584 0.2422 0.0062  3 Pr 3.25-3.52, 2 Dy 3.39-3.40, 2 Er 3.46, 1 Ac 3.47



5.
Density functional theory data (PBE-GGA) for a relaxed BaPdBr3 crystal.

Properties
Its raw formation energy is -0.57 eV/atom. The calculation puts the polymorph energy (0 for the lowest one) at 641.8 meV/atom. The space group is Pm-3m. The crystal system is cubic.

Cell lengths 6.3033, 6.3033, 6.3033 Å; angles 90.00, 90.00, 90.00 degrees
Last column: nearest neighbours and their distance in Å.
Fractional coordinates of all 5 atoms:
1 Br 0.0000 0.5000 0.0000  2 Ba 3.15
2 Br 0.0000 0.0000 0.5000  2 Ba 3.15
3 Br 0.5000 0.0000 0.0000  2 Ba 3.15
4 Ba 0.0000 0.0000 0.0000  6 Br 3.15
5 Pd 0.5000 0.5000 0.5000  12 Br 4.46



6.
Density functional theory data (PBE-GGA) for a relaxed NbNi3Rh crystal.

Properties
The calculation puts the polymorph energy (0 for the lowest one) at 2.2 meV/atom. The space group is P2_1/c. The calculation puts the formation energy at -0.164 eV/atom. The crystal system is monoclinic.

Cell lengths 4.5815, 4.9799, 11.5258 Å; angles 90.00, 88.48, 90.00 degrees
Last column: nearest neighbours and their distance in Å.
Fractional coordinates of all 20 atoms:
1 Nb 0.8984 0.5383 0.3208  6 Ni 2.51-2.72, 4 Rh 2.62-2.69
2 Nb 0.6016 0.0383 0.1792  6 Ni 2.51-2.72, 4 Rh 2.62-2.69
3 Nb 0.1016 0.4617 0.6792  6 Ni 2.51-2.72, 4 Rh 2.62-2.69
4 Nb 0.3984 0.9617 0.8208  6 Ni 2.51-2.72, 4 Rh 2.62-2.69
5 Ni 0.0962 0.7648 0.4991  7 Ni 2.48-2.76, 2 Nb 2.53-2.57, 2 Rh 2.65-2.71
6 Ni 0.4038 0.2648 0.0009  7 Ni 2.48-2.76, 2 Nb 2.53-2.57, 2 Rh 2.65-2.71
7 Ni 0.9038 0.2352 0.5009  7 Ni 2.48-2.76, 2 Nb 2.53-2.57, 2 Rh 2.65-2.71
8 Ni 0.5962 0.7352 0.9991  7 Ni 2.48-2.76, 2 Nb 2.53-2.57, 2 Rh 2.65-2.71
9 Ni 0.9048 0.1212 0.9174  7 Ni 2.44-2.68, 2 Rh 2.61-2.63, 2 Nb 2.62-2.72
10 Ni 0.5952 0.6212 0.5826  7 Ni 2.44-2.68, 2 Rh 2.61-2.63, 2 Nb 2.62-2.72
11 Ni 0.0952 0.8788 0.0826  7 Ni 2.44-2.68, 2 Rh 2.61-2.63, 2 Nb 2.62-2.72
12 Ni 0.4048 0.3788 0.4174  7 Ni 2.44-2.68, 2 Rh 2.61-2.63, 2 Nb 2.62-2.72
13 Ni 0.5671 0.8944 0.4039  7 Ni 2.47-2.76, 2 Nb 2.51-2.69, 2 Rh 2.65-2.76
14 Ni 0.9329 0.3944 0.0961  7 Ni 2.47-2.76, 2 Nb 2.51-2.69, 2 Rh 2.65-2.76
15 Ni 0.4329 0.1056 0.5961  7 Ni 2.47-2.76, 2 Nb 2.51-2.69, 2 Rh 2.65-2.76
16 Ni 0.0671 0.6056 0.9039  7 Ni 2.47-2.76, 2 Nb 2.51-2.69, 2 Rh 2.65-2.76
17 Rh 0.4122 0.5441 0.2023  6 Ni 2.61-2.76, 4 Nb 2.62-2.69
18 Rh 0.0878 0.0441 0.2977  6 Ni 2.61-2.76, 4 Nb 2.62-2.69
19 Rh 0.5878 0.4559 0.7977  6 Ni 2.61-2.76, 4 Nb 2.62-2.69
20 Rh 0.9122 0.9559 0.7023  6 Ni 2.61-2.76, 4 Nb 2.62-2.69



7.
Density functional theory data (PBE-GGA) for a relaxed LaTePb crystal.

Properties
Its raw formation energy is -0.57 eV/atom. The space group is F-43m. The crystal system is cubic.

Cell lengths 5.3403, 5.3403, 5.3403 Å; angles 60.00, 60.00, 60.00 degrees
Last column: nearest neighbours and their distance in Å.
Fractional coordinates of all 3 atoms:
1 La 0.0000 0.0000 0.0000  4 Te 3.27
2 Pb 0.5000 0.5000 0.5000  4 Te 3.27
3 Te 0.7500 0.7500 0.7500  4 Pb 3.27, 4 La 3.27



8.
Density functional theory data (PBE-GGA) for a relaxed Hf4BiC2 crystal.

Properties
The space group is R-3m. The calculation puts the formation energy at -0.598 eV/atom. The crystal system is trigonal.

Cell lengths 3.3750, 3.3750, 12.6867 Å; angles 82.36, 82.36, 60.00 degrees
Last column: nearest neighbours and their distance in Å.
Fractional coordinates of all 7 atoms:
1 Hf 0.1308 0.1308 0.6077  3 C 2.34
2 Hf 0.2672 0.2672 0.1985  3 C 2.26
3 Hf 0.7328 0.7328 0.8015  3 C 2.26
4 Hf 0.8692 0.8692 0.3923  3 C 2.34
5 Bi 0.0000 0.0000 0.0000  6 Hf 3.16, 6 Bi 3.38
6 C 0.4298 0.4298 0.7107  6 Hf 2.26-2.34
7 C 0.5702 0.5702 0.2893  6 Hf 2.26-2.34



9.
Density functional theory data (PBE-GGA) for a relaxed Pm2Si3NiPt4 crystal.

Properties
Its raw formation energy is -1.00 eV/atom. The space group is P-4m2. The crystal system is tetragonal.

Cell lengths 4.2353, 4.2353, 9.9461 Å; angles 90.00, 90.00, 90.00 degrees
Last column: nearest neighbours and their distance in Å.
Fractional coordinates of all 10 atoms:
1 Pm 0.5000 0.0000 0.2617  8 Pt 3.18-3.36, 2 Ni 3.18, 6 Si 3.18-3.26
2 Pm 0.0000 0.5000 0.7383  8 Pt 3.18-3.36, 2 Ni 3.18, 6 Si 3.18-3.26
3 Si 0.0000 0.0000 0.5000  4 Pt 2.49
4 Si 0.5000 0.0000 0.8689  5 Pt 2.36-2.49
5 Si 0.0000 0.5000 0.1311  5 Pt 2.36-2.49
6 Ni 0.5000 0.5000 0.5000  4 Pt 2.49
7 Pt 0.5000 0.5000 0.0000  4 Si 2.49
8 Pt 0.0000 0.0000 0.0000  4 Si 2.49
9 Pt 0.5000 0.0000 0.6314  3 Si 2.36-2.49, 2 Ni 2.49
10 Pt 0.0000 0.5000 0.3686  3 Si 2.36-2.49, 2 Ni 2.49



10.
Density functional theory data (PBE-GGA) for a relaxed LaPrEu2 crystal.

Properties
The calculation puts the polymorph energy (0 for the lowest one) at 27.0 meV/atom. The space group is P4/mmm. The calculation puts the formation energy at 0.087 eV/atom. The crystal system is tetragonal.

Cell lengths 5.4104, 5.3303, 5.3303 Å; angles 90.00, 90.00, 90.00 degrees
Last column: nearest neighbours and their distance in Å.
Fractional coordinates of all 4 atoms:
1 Eu 0.0000 0.0000 0.5000  4 Eu 3.77, 4 La 3.80, 4 Pr 3.80
2 Eu 0.0000 0.5000 0.0000  4 Eu 3.77, 4 La 3.80, 4 Pr 3.80
3 Pr 0.5000 0.5000 0.5000  4 La 3.77, 8 Eu 3.80
4 La 0.5000 0.0000 0.0000  4 Pr 3.77, 8 Eu 3.80



It is found that the theoretical density values, taken in the order of the records, are 5322 11372 6186 8010 3206 9397 7304 12716 11292 6306 kg/m³.
It is found that the magnetic moment values, taken in the order of the records, are 0.000 0.408 0.000 0.014 0.200 0.000 0.000 0.000 0.000 3.758 μB per atom.
It is found that the energy values, taken in the order of the records, are -16.938 -29.400 -21.733 -66.214 -14.984 -142.339 -13.473 -66.325 -65.720 -29.906 eV for the cell shown.